Entry 1:
Here is a relaxed structure of Ac3PrDy8 from the Alexandria database. Energies are from PBE-GGA.

abc: 8.730 8.730 8.730
angles: 100.04 95.53 136.83
Fractional coordinates of all 12 atoms:
Ac 0.000 0.000 0.000
Ac 0.104 0.356 0.748
Ac 0.608 0.356 0.252
Pr 0.502 0.002 0.500
Dy 0.018 0.347 0.329
Dy 0.018 0.689 0.671
Dy 0.097 0.016 0.423
Dy 0.097 0.674 0.081
Dy 0.515 0.341 0.825
Dy 0.515 0.690 0.175
Dy 0.593 0.016 0.919
Dy 0.593 0.674 0.577

Calculated values
- ΔE_f: 0.054 eV/atom
- Crystal system: orthorhombic
- Density of states at the Fermi level: 1.879 states/eV per atom

Entry 2:
Here is a relaxed structure of Li3CuF6 from the Alexandria database. Energies are from PBE-GGA.

abc: 5.068 5.189 9.112
angles: 90.00 123.40 90.00
Fractional coordinates of all 20 atoms:
Li 0.000 0.000 0.000
Li 0.000 0.500 0.500
Li 0.230 0.043 0.733
Li 0.230 0.457 0.233
Li 0.770 0.543 0.767
Li 0.770 0.957 0.267
Cu 0.500 0.000 0.500
Cu 0.500 0.500 0.000
F 0.125 0.178 0.445
F 0.125 0.322 0.945
F 0.247 0.692 0.414
F 0.247 0.808 0.914
F 0.400 0.087 0.267
F 0.400 0.413 0.767
F 0.600 0.587 0.233
F 0.600 0.913 0.733
F 0.753 0.192 0.086
F 0.753 0.308 0.586
F 0.875 0.678 0.055
F 0.875 0.822 0.555

Calculated values
- E_form (uncorrected): -2.325 eV/atom
- Crystal system: monoclinic
- Distance to the lowest polymorph of the same formula: 20 meV per atom